Record 1
## GeIrN (PBE)

Data for crystalline GeIrN at its relaxed geometry.

Space group: No. 160
Formation energy without anion corrections (kcal/mol of atoms): 12.568
Offset from the most stable computed form (meV/atom): 287.2

```
data_GeIrN
_cell_length_a 6.139
_cell_length_b 6.139
_cell_length_c 6.139
_cell_angle_alpha 27.33
_cell_angle_beta 27.33
_cell_angle_gamma 27.33
_symmetry_space_group_name_H-M 'P 1'
_symmetry_Int_Tables_number 1
loop_
_symmetry_equiv_pos_as_xyz
'x,y,z'
loop_
_atom_site_label
_atom_site_type_symbol
_atom_site_fract_x
_atom_site_fract_y
_atom_site_fract_z
_atom_site_occupancy
Ge1 Ge 0.000 0.000 0.000 1
Ir1 Ir 0.850 0.850 0.850 1
N1 N 0.121 0.121 0.121 1
```



Record 2
## LaHf (PBE)

Data for crystalline LaHf at its relaxed geometry.

Space group: No. 225
Offset from the most stable computed form (meV/atom): 877.1
Energy of formation (eV per atom): 1.07

```
data_LaHf
_cell_length_a 4.415
_cell_length_b 4.415
_cell_length_c 4.415
_cell_angle_alpha 60.00
_cell_angle_beta 60.00
_cell_angle_gamma 60.00
_symmetry_space_group_name_H-M 'P 1'
_symmetry_Int_Tables_number 1
loop_
_symmetry_equiv_pos_as_xyz
'x,y,z'
loop_
_atom_site_label
_atom_site_type_symbol
_atom_site_fract_x
_atom_site_fract_y
_atom_site_fract_z
_atom_site_occupancy
La1 La 0.000 0.000 0.000 1
Hf1 Hf 0.500 0.500 0.500 1
```



Record 3
## Ba3Ni (PBE)

Data for crystalline Ba3Ni at its relaxed geometry.

Space group: No. 223
Energy of formation (eV per atom): 0.49

```
data_Ba3Ni
_cell_length_a 6.924
_cell_length_b 6.924
_cell_length_c 6.924
_cell_angle_alpha 90.00
_cell_angle_beta 90.00
_cell_angle_gamma 90.00
_symmetry_space_group_name_H-M 'P 1'
_symmetry_Int_Tables_number 1
loop_
_symmetry_equiv_pos_as_xyz
'x,y,z'
loop_
_atom_site_label
_atom_site_type_symbol
_atom_site_fract_x
_atom_site_fract_y
_atom_site_fract_z
_atom_site_occupancy
Ba1 Ba 0.000 0.250 0.500 1
Ba2 Ba 0.000 0.750 0.500 1
Ba3 Ba 0.250 0.500 0.000 1
Ba4 Ba 0.500 0.000 0.250 1
Ba5 Ba 0.500 0.000 0.750 1
Ba6 Ba 0.750 0.500 0.000 1
Ni1 Ni 0.000 0.000 0.000 1
Ni2 Ni 0.500 0.500 0.500 1
```



Record 4
## ThPaZnCu (PBE)

Data for crystalline ThPaZnCu at its relaxed geometry.

Space group: No. 216
Energy of formation (eV per atom): 0.09

```
data_ThPaZnCu
_cell_length_a 5.013
_cell_length_b 5.013
_cell_length_c 5.013
_cell_angle_alpha 60.00
_cell_angle_beta 60.00
_cell_angle_gamma 60.00
_symmetry_space_group_name_H-M 'P 1'
_symmetry_Int_Tables_number 1
loop_
_symmetry_equiv_pos_as_xyz
'x,y,z'
loop_
_atom_site_label
_atom_site_type_symbol
_atom_site_fract_x
_atom_site_fract_y
_atom_site_fract_z
_atom_site_occupancy
Th1 Th 0.000 0.000 0.000 1
Pa1 Pa 0.500 0.500 0.500 1
Zn1 Zn 0.750 0.750 0.750 1
Cu1 Cu 0.250 0.250 0.250 1
```



Record 5
## YCu2W (PBE)

Data for crystalline YCu2W at its relaxed geometry.

Space group: No. 12
Offset from the most stable computed form (meV/atom): 141.2
Energy of formation (eV per atom): 0.44

```
data_YCu2W
_cell_length_a 4.556
_cell_length_b 4.556
_cell_length_c 5.629
_cell_angle_alpha 101.28
_cell_angle_beta 101.28
_cell_angle_gamma 39.96
_symmetry_space_group_name_H-M 'P 1'
_symmetry_Int_Tables_number 1
loop_
_symmetry_equiv_pos_as_xyz
'x,y,z'
loop_
_atom_site_label
_atom_site_type_symbol
_atom_site_fract_x
_atom_site_fract_y
_atom_site_fract_z
_atom_site_occupancy
Y1 Y 0.000 0.000 0.000 1
Cu1 Cu 0.239 0.239 0.669 1
Cu2 Cu 0.761 0.761 0.331 1
W1 W 0.500 0.500 0.500 1
```



Record 6
## Sc8N2O (PBE)

Data for crystalline Sc8N2O at its relaxed geometry.

Space group: No. 12
Formation energy without anion corrections (kcal/mol of atoms): -26.936

```
data_Sc8N2O
_cell_length_a 6.443
_cell_length_b 6.443
_cell_length_c 5.515
_cell_angle_alpha 104.93
_cell_angle_beta 104.93
_cell_angle_gamma 61.25
_symmetry_space_group_name_H-M 'P 1'
_symmetry_Int_Tables_number 1
loop_
_symmetry_equiv_pos_as_xyz
'x,y,z'
loop_
_atom_site_label
_atom_site_type_symbol
_atom_site_fract_x
_atom_site_fract_y
_atom_site_fract_z
_atom_site_occupancy
Sc1 Sc 0.126 0.609 0.238 1
Sc2 Sc 0.127 0.127 0.229 1
Sc3 Sc 0.373 0.373 0.743 1
Sc4 Sc 0.391 0.874 0.762 1
Sc5 Sc 0.609 0.126 0.238 1
Sc6 Sc 0.627 0.627 0.257 1
Sc7 Sc 0.873 0.873 0.771 1
Sc8 Sc 0.874 0.391 0.762 1
N1 N 0.250 0.250 0.991 1
N2 N 0.750 0.750 0.009 1
O1 O 0.500 0.500 0.500 1
```



Record 7
## La3Al2Si3 (PBE)

Data for crystalline La3Al2Si3 at its relaxed geometry.

Space group: No. 63
Formation energy without anion corrections (kcal/mol of atoms): -14.296

```
data_La3Al2Si3
_cell_length_a 6.097
_cell_length_b 6.097
_cell_length_c 15.735
_cell_angle_alpha 90.00
_cell_angle_beta 90.00
_cell_angle_gamma 139.08
_symmetry_space_group_name_H-M 'P 1'
_symmetry_Int_Tables_number 1
loop_
_symmetry_equiv_pos_as_xyz
'x,y,z'
loop_
_atom_site_label
_atom_site_type_symbol
_atom_site_fract_x
_atom_site_fract_y
_atom_site_fract_z
_atom_site_occupancy
La1 La 0.044 0.956 0.750 1
La2 La 0.350 0.650 0.592 1
La3 La 0.350 0.650 0.908 1
La4 La 0.650 0.350 0.092 1
La5 La 0.650 0.350 0.408 1
La6 La 0.956 0.044 0.250 1
Al1 Al 0.361 0.639 0.119 1
Al2 Al 0.361 0.639 0.381 1
Al3 Al 0.639 0.361 0.619 1
Al4 Al 0.639 0.361 0.881 1
Si1 Si 0.070 0.930 0.555 1
Si2 Si 0.070 0.930 0.945 1
Si3 Si 0.232 0.768 0.250 1
Si4 Si 0.768 0.232 0.750 1
Si5 Si 0.930 0.070 0.055 1
Si6 Si 0.930 0.070 0.445 1
```



Record 8
## Hf2AlTl (PBE)

Data for crystalline Hf2AlTl at its relaxed geometry.

Space group: No. 122
Offset from the most stable computed form (meV/atom): 353.9
Energy of formation (eV per atom): 0.28

```
data_Hf2AlTl
_cell_length_a 6.249
_cell_length_b 6.249
_cell_length_c 6.249
_cell_angle_alpha 103.11
_cell_angle_beta 103.11
_cell_angle_gamma 123.12
_symmetry_space_group_name_H-M 'P 1'
_symmetry_Int_Tables_number 1
loop_
_symmetry_equiv_pos_as_xyz
'x,y,z'
loop_
_atom_site_label
_atom_site_type_symbol
_atom_site_fract_x
_atom_site_fract_y
_atom_site_fract_z
_atom_site_occupancy
Hf1 Hf 0.116 0.625 0.991 1
Hf2 Hf 0.375 0.366 0.491 1
Hf3 Hf 0.634 0.125 0.009 1
Hf4 Hf 0.875 0.884 0.509 1
Al1 Al 0.000 0.000 0.000 1
Al2 Al 0.750 0.250 0.500 1
Tl1 Tl 0.250 0.750 0.500 1
Tl2 Tl 0.500 0.500 0.000 1
```



Record 9
## Pr6DyY2Ho (PBE)

Data for crystalline Pr6DyY2Ho at its relaxed geometry.

Space group: No. 15
Energy of formation (eV per atom): 0.12

```
data_Pr6DyY2Ho
_cell_length_a 9.036
_cell_length_b 9.036
_cell_length_c 9.650
_cell_angle_alpha 93.52
_cell_angle_beta 93.52
_cell_angle_gamma 117.22
_symmetry_space_group_name_H-M 'P 1'
_symmetry_Int_Tables_number 1
loop_
_symmetry_equiv_pos_as_xyz
'x,y,z'
loop_
_atom_site_label
_atom_site_type_symbol
_atom_site_fract_x
_atom_site_fract_y
_atom_site_fract_z
_atom_site_occupancy
Pr1 Pr 0.006 0.564 0.189 1
Pr2 Pr 0.115 0.765 0.556 1
Pr3 Pr 0.235 0.885 0.944 1
Pr4 Pr 0.294 0.516 0.384 1
Pr5 Pr 0.436 0.994 0.311 1
Pr6 Pr 0.484 0.706 0.116 1
Pr7 Pr 0.516 0.294 0.884 1
Pr8 Pr 0.564 0.006 0.689 1
Pr9 Pr 0.706 0.484 0.616 1
Pr10 Pr 0.765 0.115 0.056 1
Pr11 Pr 0.885 0.235 0.444 1
Pr12 Pr 0.994 0.436 0.811 1
Dy1 Dy 0.031 0.969 0.250 1
Dy2 Dy 0.969 0.031 0.750 1
Y1 Y 0.202 0.295 0.048 1
Y2 Y 0.295 0.202 0.548 1
Y3 Y 0.705 0.798 0.452 1
Y4 Y 0.798 0.705 0.952 1
Ho1 Ho 0.412 0.588 0.750 1
Ho2 Ho 0.588 0.412 0.250 1
```



Record 10
## ZrPBr (PBE)

Data for crystalline ZrPBr at its relaxed geometry.

Space group: No. 216
Formation energy without anion corrections (kcal/mol of atoms): -11.979
Offset from the most stable computed form (meV/atom): 464.8

```
data_ZrPBr
_cell_length_a 4.631
_cell_length_b 4.631
_cell_length_c 4.631
_cell_angle_alpha 60.00
_cell_angle_beta 60.00
_cell_angle_gamma 60.00
_symmetry_space_group_name_H-M 'P 1'
_symmetry_Int_Tables_number 1
loop_
_symmetry_equiv_pos_as_xyz
'x,y,z'
loop_
_atom_site_label
_atom_site_type_symbol
_atom_site_fract_x
_atom_site_fract_y
_atom_site_fract_z
_atom_site_occupancy
Zr1 Zr 0.000 0.000 0.000 1
P1 P 0.750 0.750 0.750 1
Br1 Br 0.250 0.250 0.250 1
```



Record 11
## SbTeCl2F (PBE)

Data for crystalline SbTeCl2F at its relaxed geometry.

Space group: No. 123
Formation energy without anion corrections (kcal/mol of atoms): -5.892

```
data_SbTeCl2F
_cell_length_a 5.121
_cell_length_b 5.121
_cell_length_c 6.154
_cell_angle_alpha 90.00
_cell_angle_beta 90.00
_cell_angle_gamma 90.00
_symmetry_space_group_name_H-M 'P 1'
_symmetry_Int_Tables_number 1
loop_
_symmetry_equiv_pos_as_xyz
'x,y,z'
loop_
_atom_site_label
_atom_site_type_symbol
_atom_site_fract_x
_atom_site_fract_y
_atom_site_fract_z
_atom_site_occupancy
Sb1 Sb 0.000 0.000 0.000 1
Te1 Te 0.000 0.000 0.500 1
Cl1 Cl 0.000 0.500 0.000 1
Cl2 Cl 0.500 0.000 0.000 1
F1 F 0.500 0.500 0.500 1
```



Record 12
## SrSi2Rh (PBE)

Data for crystalline SrSi2Rh at its relaxed geometry.

Space group: No. 12
Formation energy without anion corrections (kcal/mol of atoms): 4.831

```
data_SrSi2Rh
_cell_length_a 5.162
_cell_length_b 5.162
_cell_length_c 3.105
_cell_angle_alpha 90.25
_cell_angle_beta 90.25
_cell_angle_gamma 114.34
_symmetry_space_group_name_H-M 'P 1'
_symmetry_Int_Tables_number 1
loop_
_symmetry_equiv_pos_as_xyz
'x,y,z'
loop_
_atom_site_label
_atom_site_type_symbol
_atom_site_fract_x
_atom_site_fract_y
_atom_site_fract_z
_atom_site_occupancy
Sr1 Sr 0.000 0.000 0.000 1
Si1 Si 0.000 0.500 0.500 1
Si2 Si 0.500 0.000 0.500 1
Rh1 Rh 0.500 0.500 0.000 1
```



Copy entry 2 word for word.
## LaHf (PBE)

Data for crystalline LaHf at its relaxed geometry.

Space group: No. 225
Offset from the most stable computed form (meV/atom): 877.1
Energy of formation (eV per atom): 1.07

```
data_LaHf
_cell_length_a 4.415
_cell_length_b 4.415
_cell_length_c 4.415
_cell_angle_alpha 60.00
_cell_angle_beta 60.00
_cell_angle_gamma 60.00
_symmetry_space_group_name_H-M 'P 1'
_symmetry_Int_Tables_number 1
loop_
_symmetry_equiv_pos_as_xyz
'x,y,z'
loop_
_atom_site_label
_atom_site_type_symbol
_atom_site_fract_x
_atom_site_fract_y
_atom_site_fract_z
_atom_site_occupancy
La1 La 0.000 0.000 0.000 1
Hf1 Hf 0.500 0.500 0.500 1
```



Question: Number 7 is which compound?
Answer: La3Al2Si3



Copy entry 2 word for word.
## LaHf (PBE)

Data for crystalline LaHf at its relaxed geometry.

Space group: No. 225
Offset from the most stable computed form (meV/atom): 877.1
Energy of formation (eV per atom): 1.07

```
data_LaHf
_cell_length_a 4.415
_cell_length_b 4.415
_cell_length_c 4.415
_cell_angle_alpha 60.00
_cell_angle_beta 60.00
_cell_angle_gamma 60.00
_symmetry_space_group_name_H-M 'P 1'
_symmetry_Int_Tables_number 1
loop_
_symmetry_equiv_pos_as_xyz
'x,y,z'
loop_
_atom_site_label
_atom_site_type_symbol
_atom_site_fract_x
_atom_site_fract_y
_atom_site_fract_z
_atom_site_occupancy
La1 La 0.000 0.000 0.000 1
Hf1 Hf 0.500 0.500 0.500 1
```